Y4InSi | PBE | relaxed

```
Y4InSi
1.0
0.000 4.393 4.393
4.393 0.000 4.393
4.393 4.393 0.000
Y In Si
4 1 1
Direct
0.125 0.125 0.125 Y
0.125 0.125 0.625 Y
0.125 0.625 0.125 Y
0.625 0.125 0.125 Y
0.750 0.750 0.750 In
0.500 0.500 0.500 Si
```

Results
Mass density ... 4.881 g/cm³
Energy relative to the elements, uncorrected ... 365 meV per atom
Symmetry ... F-43m
Energy above the most stable polymorph in this dataset ... 831.2 meV per atom